Compound: Zn2CuRu
Source: Alexandria via LeMat-Bulk
Functional: PBE-GGA
Structure: optimized geometry

Cell lengths 8.649, 8.649, 8.649 Å; angles 18.13, 18.13, 18.13 degrees
Sites, in units of the cell vectors:
Zn: 0.000 0.000 0.000
Zn: 0.164 0.164 0.164
Cu: 0.415 0.415 0.415
Ru: 0.582 0.582 0.582

Output
- energy (eV/atom) = -3.97
- SG = No. 160
- energy of formation (eV/atom) = 0.007
- total magnetization (μB per atom) = 0.000



Compound: TaSe
Source: Alexandria via LeMat-Bulk
Functional: PBE-GGA
Structure: optimized geometry

Cell lengths 6.689, 6.235, 6.010 Å; angles 66.19, 58.52, 55.30 degrees
Sites, in units of the cell vectors:
Ta: 0.013 0.013 0.737
Ta: 0.263 0.263 0.987
Ta: 0.737 0.737 0.013
Ta: 0.987 0.987 0.263
Se: 0.166 0.584 0.584
Se: 0.416 0.834 0.834
Se: 0.584 0.166 0.166
Se: 0.834 0.416 0.416

Output
- energy (eV/atom) = -7.85
- formation energy without anion corrections (eV per atom) = -0.186
- SG = No. 70
- total magnetization (μB per atom) = 0.000



Compound: AcTm2Te4
Source: Alexandria via LeMat-Bulk
Functional: PBE-GGA
Structure: optimized geometry

Cell lengths 7.463, 7.463, 14.947 Å; angles 90.00, 90.00, 145.59 degrees
Sites, in units of the cell vectors:
Ac: 0.121 0.879 0.750
Ac: 0.879 0.121 0.250
Tm: 0.370 0.630 0.563
Tm: 0.370 0.630 0.937
Tm: 0.630 0.370 0.063
Tm: 0.630 0.370 0.437
Te: 0.000 0.000 0.000
Te: 0.000 0.000 0.500
Te: 0.270 0.730 0.117
Te: 0.270 0.730 0.383
Te: 0.447 0.553 0.750
Te: 0.553 0.447 0.250
Te: 0.730 0.270 0.617
Te: 0.730 0.270 0.883

Output
- energy (eV/atom) = -5.07
- formation energy without anion corrections (eV per atom) = -1.409
- SG = No. 63
- total magnetization (μB per atom) = 0.000